Density functional theory data (PBE with a Hubbard U) for a geometry-optimized Li7Mn2Co3O12 structure.

The structure in CIF format:
```
data_Li7Mn2Co3O12
_chemical_formula_sum 'Li7 Mn2 Co3 O12'
_cell_length_a 5.9007
_cell_length_b 2.8748
_cell_length_c 12.9516
_cell_angle_alpha 90.00
_cell_angle_beta 102.76
_cell_angle_gamma 90.00
_symmetry_space_group_name_H-M 'P 1 m 1'
_symmetry_Int_Tables_number 6
loop_
_symmetry_equiv_pos_as_xyz
'x,y,z'
'x,-y,z'
loop_
_atom_site_label
_atom_site_fract_x
_atom_site_fract_y
_atom_site_fract_z
Li1 0.0000 0.0000 0.0000
Li2 0.0024 0.5000 0.5041
Li3 0.1571 0.5000 0.8288
Li4 0.3170 0.0000 0.6576
Li5 0.4907 0.5000 0.5014
Li6 0.6775 0.0000 0.3523
Li7 0.8300 0.5000 0.1714
Mn1 0.1674 0.0000 0.3440
Mn2 0.6654 0.5000 0.8330
Co1 0.3323 0.5000 0.1689
Co2 0.4882 0.0000 0.0013
Co3 0.8338 0.0000 0.6496
O1 0.0671 0.5000 0.6718
O2 0.1141 0.0000 0.1777
O3 0.2372 0.0000 0.4878
O4 0.2526 0.5000 0.0003
O5 0.3893 0.5000 0.3357
O6 0.4433 0.0000 0.8372
O7 0.5533 0.0000 0.1650
O8 0.6019 0.5000 0.6836
O9 0.7281 0.5000 0.9923
O10 0.7431 0.0000 0.5093
O11 0.8851 0.0000 0.8363
O12 0.9413 0.5000 0.3318
```

excess energy over the best structure of this formula in the dataset: 0.050 eV/atom
E_tot: -140.32 eV/cell